A geometry-optimized BaCd3Os structure, computed with PBE.

Lattice parameters (Å, degrees): 5.2834 5.2834 5.2834 90.00 90.00 90.00
With the nearest neighbours (Å) after each atom.
Fractional coordinates of all 5 atoms:
Cd 0.0000 0.0000 0.5000  2 Os 2.64
Cd 0.0000 0.5000 0.0000  2 Os 2.64
Cd 0.5000 0.0000 0.0000  2 Os 2.64
Ba 0.5000 0.5000 0.5000  12 Cd 3.74
Os 0.0000 0.0000 0.0000  6 Cd 2.64

Computed properties:
N(E_F) (states/eV per cell): 3.08
Excess energy over the best structure of this formula in the dataset (meV/atom): 0
Total magnetic moment (μB per atom): 0.00
Space group: Pm-3m, No. 221
Formation enthalpy at 0 K (eV/atom): 0.170